(1)
VASP calculation (PBE-GGA) on a relaxed structure of Cs3AcTm2Te6.

abc: 8.046 13.939 9.337
angles: 90.00 106.77 90.00
Space group C2/m (No. 12)
Symmetry-distinct sites (fractional):
Cs 0.000 0.000 0.000 [2 per cell]
Cs 0.000 0.339 0.000 [4 per cell]
Ac 0.000 0.500 0.500 [2 per cell]
Tm 0.000 0.167 0.500 [4 per cell]
Te 0.209 0.000 0.690 [4 per cell]
Te 0.242 0.323 0.692 [8 per cell]

Total energy, eV/atom: -4.268
Energy relative to the elements, uncorrected, meV per atom: -1396


(2)
VASP calculation (PBE-GGA) on a relaxed structure of Cs3Ac3TmTe8.

abc: 16.549 9.540 10.703
angles: 90.00 121.08 90.00
Space group C2/m (No. 12)
Symmetry-distinct sites (fractional):
Cs 0.000 0.000 0.000 [2 per cell]
Cs 0.250 0.250 0.000 [4 per cell]
Ac 0.000 0.500 0.500 [2 per cell]
Ac 0.250 0.250 0.500 [4 per cell]
Tm 0.000 0.000 0.500 [2 per cell]
Te 0.014 0.233 0.310 [8 per cell]
Te 0.219 0.000 0.690 [4 per cell]
Te 0.235 0.500 0.704 [4 per cell]

Total energy, eV/atom: -4.338
Energy relative to the elements, uncorrected, meV per atom: -1371


(3)
VASP calculation (PBE-GGA) on a relaxed structure of Cs4Ac3TmTe8.

abc: 9.6223 9.6223 26.9364
angles: 90.00 90.00 120.00
Space group R-3m (No. 166, hexagonal axes)
Symmetry-distinct sites (fractional):
Cs 0.0000 0.0000 0.0000 [3 per cell]
Cs 0.0000 0.5000 0.0000 [9 per cell]
Ac 0.0000 0.5000 0.5000 [9 per cell]
Tm 0.0000 0.0000 0.5000 [3 per cell]
Te 0.0000 0.0000 0.2351 [6 per cell]
Te 0.0193 0.5096 0.2317 [18 per cell]

Total energy, eV/atom: -4.289
Energy relative to the elements, uncorrected, meV per atom: -1455


(4)
VASP calculation (PBE-GGA) on a relaxed structure of CsAcTmTe3.

abc: 9.723 5.294 11.403
angles: 90.00 113.11 90.00
Space group P2_1/m (No. 11)
Symmetry-distinct sites (fractional):
Cs 0.245 0.250 0.252 [2 per cell]
Ac 0.320 0.750 0.885 [2 per cell]
Tm 0.134 0.250 0.630 [2 per cell]
Te 0.086 0.250 0.868 [2 per cell]
Te 0.196 0.750 0.544 [2 per cell]
Te 0.480 0.250 0.804 [2 per cell]

Total energy, eV/atom: -4.429
Energy relative to the elements, uncorrected, meV per atom: -1286


(5)
VASP calculation (PBE-GGA) on a relaxed structure of Cs3Ac2TmTe6.

abc: 8.277 14.337 9.383
angles: 90.00 107.15 90.00
Space group C2/m (No. 12)
Symmetry-distinct sites (fractional):
Cs 0.000 0.000 0.000 [2 per cell]
Cs 0.000 0.329 0.000 [4 per cell]
Ac 0.000 0.166 0.500 [4 per cell]
Tm 0.000 0.500 0.500 [2 per cell]
Te 0.222 0.344 0.696 [8 per cell]
Te 0.246 0.500 0.302 [4 per cell]

Total energy, eV/atom: -4.286
Energy relative to the elements, uncorrected, meV per atom: -1445


(6)
VASP calculation (PBE-GGA) on a relaxed structure of Cs2AcUTe6.

abc: 8.682 12.283 8.687
angles: 90.00 90.00 90.00
Space group Pmmn (No. 59, origin choice 2)
Symmetry-distinct sites (fractional):
Cs 0.250 0.001 0.250 [4 per cell]
Ac 0.250 0.250 0.749 [2 per cell]
U 0.250 0.750 0.751 [2 per cell]
Te 0.014 0.750 0.515 [4 per cell]
Te 0.014 0.750 0.987 [4 per cell]
Te 0.250 0.514 0.751 [4 per cell]

Total energy, eV/atom: -4.503
Energy relative to the elements, uncorrected, meV per atom: -908


(7)
VASP calculation (PBE-GGA) on a relaxed structure of Cs3Ac2UTe6.

abc: 8.365 14.490 9.385
angles: 90.00 107.30 90.00
Space group C2/m (No. 12)
Symmetry-distinct sites (fractional):
Cs 0.000 0.000 0.000 [2 per cell]
Cs 0.000 0.330 0.000 [4 per cell]
Ac 0.000 0.166 0.500 [4 per cell]
U 0.000 0.500 0.500 [2 per cell]
Te 0.226 0.340 0.698 [8 per cell]
Te 0.246 0.000 0.700 [4 per cell]

Total energy, eV/atom: -4.678
Energy relative to the elements, uncorrected, meV per atom: -1268


(8)
VASP calculation (PBE-GGA) on a relaxed structure of Cs3AcY2Te6.

abc: 8.100 14.031 9.344
angles: 90.00 106.85 90.00
Space group C2/m (No. 12)
Symmetry-distinct sites (fractional):
Cs 0.000 0.000 0.000 [2 per cell]
Cs 0.000 0.337 0.000 [4 per cell]
Ac 0.000 0.500 0.500 [2 per cell]
Y 0.000 0.167 0.500 [4 per cell]
Te 0.213 0.000 0.692 [4 per cell]
Te 0.240 0.324 0.694 [8 per cell]

Total energy, eV/atom: -4.632
Energy relative to the elements, uncorrected, meV per atom: -1429


(9)
VASP calculation (PBE-GGA) on a relaxed structure of CsAcZnTe3.

abc: 10.705 4.690 11.070
angles: 90.00 108.02 90.00
Space group P2_1/m (No. 11)
Symmetry-distinct sites (fractional):
Cs 0.207 0.250 0.242 [2 per cell]
Ac 0.327 0.750 0.853 [2 per cell]
Zn 0.081 0.250 0.611 [2 per cell]
Te 0.106 0.250 0.856 [2 per cell]
Te 0.179 0.750 0.531 [2 per cell]
Te 0.462 0.750 0.166 [2 per cell]

Total energy, eV/atom: -3.742
Energy relative to the elements, uncorrected, meV per atom: -1132


(10)
VASP calculation (PBE-GGA) on a relaxed structure of Cs2AcZn2Te4.

abc: 17.239 4.972 8.920
angles: 90.00 109.44 90.00
Space group C2/m (No. 12)
Symmetry-distinct sites (fractional):
Cs 0.135 0.000 0.065 [4 per cell]
Ac 0.000 0.000 0.500 [2 per cell]
Zn 0.176 0.500 0.504 [4 per cell]
Te 0.022 0.500 0.265 [4 per cell]
Te 0.205 0.000 0.654 [4 per cell]

Total energy, eV/atom: -3.264
Energy relative to the elements, uncorrected, meV per atom: -939


(11)
VASP calculation (PBE-GGA) on a relaxed structure of Cs4Ac3ZrTe8.

abc: 9.5269 9.5269 26.9331
angles: 90.00 90.00 120.00
Space group R-3m (No. 166, hexagonal axes)
Symmetry-distinct sites (fractional):
Cs 0.0000 0.0000 0.0000 [3 per cell]
Cs 0.0000 0.5000 0.0000 [9 per cell]
Ac 0.0000 0.5000 0.5000 [9 per cell]
Zr 0.0000 0.0000 0.5000 [3 per cell]
Te 0.0000 0.0000 0.2359 [6 per cell]
Te 0.0278 0.5139 0.2309 [18 per cell]

Total energy, eV/atom: -4.411
Energy relative to the elements, uncorrected, meV per atom: -1322


(12)
VASP calculation (PBE-GGA) on a relaxed structure of CsAcTl2.

abc: 4.217 4.217 9.419
angles: 90.00 90.00 90.00
Space group P4/mmm (No. 123)
Symmetry-distinct sites (fractional):
Cs 0.000 0.000 0.000 [1 per cell]
Ac 0.000 0.000 0.500 [1 per cell]
Tl 0.500 0.500 0.300 [2 per cell]

Total energy, eV/atom: -2.619
Formation enthalpy at 0 K, eV per atom: -0.20


(13)
VASP calculation (PBE-GGA) on a relaxed structure of CsAcTl2.

abc: 4.2054 4.2054 33.9483
angles: 90.00 90.00 120.00
Space group R-3m (No. 166, hexagonal axes)
Symmetry-distinct sites (fractional):
Cs 0.0000 0.0000 0.0000 [3 per cell]
Ac 0.0000 0.0000 0.5000 [3 per cell]
Tl 0.0000 0.0000 0.2416 [6 per cell]

Total energy, eV/atom: -2.456
Formation enthalpy at 0 K, eV per atom: -0.03


(14)
VASP calculation (PBE-GGA) on a relaxed structure of CsAcTl.

abc: 11.120 5.111 12.969
angles: 90.00 107.78 90.00
Space group C2/m (No. 12)
Symmetry-distinct sites (fractional):
Cs 0.197 0.000 0.164 [4 per cell]
Ac 0.111 0.500 0.424 [4 per cell]
Tl 0.107 0.000 0.625 [4 per cell]

Total energy, eV/atom: -2.478
Formation enthalpy at 0 K, eV per atom: -0.04


(15)
VASP calculation (PBE-GGA) on a relaxed structure of CsAcTl.

abc: 4.315 4.315 16.412
angles: 90.00 90.00 90.00
Space group I4mm (No. 107)
Symmetry-distinct sites (fractional):
Cs 0.000 0.000 0.000 [2 per cell]
Ac 0.000 0.000 0.262 [2 per cell]
Tl 0.000 0.000 0.668 [2 per cell]

Total energy, eV/atom: -2.440
Formation enthalpy at 0 K, eV per atom: 0.00


(16)
VASP calculation (PBE-GGA) on a relaxed structure of CsAc4Tl5.

abc: 4.182 4.182 21.685
angles: 90.00 90.00 90.00
Space group P4/mmm (No. 123)
Symmetry-distinct sites (fractional):
Cs 0.000 0.000 0.000 [1 per cell]
Ac 0.000 0.000 0.217 [2 per cell]
Ac 0.000 0.000 0.406 [2 per cell]
Tl 0.500 0.500 0.131 [2 per cell]
Tl 0.500 0.500 0.312 [2 per cell]
Tl 0.500 0.500 0.500 [1 per cell]

Total energy, eV/atom: -3.199
Formation enthalpy at 0 K, eV per atom: -0.29


(17)
VASP calculation (PBE-GGA) on a relaxed structure of CsAc2Tl.

abc: 4.1328 4.1328 39.9712
angles: 90.00 90.00 120.00
Space group R-3m (No. 166, hexagonal axes)
Symmetry-distinct sites (fractional):
Cs 0.0000 0.0000 0.0000 [3 per cell]
Ac 0.0000 0.0000 0.1042 [6 per cell]
Tl 0.0000 0.0000 0.5000 [3 per cell]

Total energy, eV/atom: -2.758
Formation enthalpy at 0 K, eV per atom: 0.10


(18)
VASP calculation (PBE-GGA) on a relaxed structure of AcCu6.

abc: 6.509 6.509 6.509
angles: 90.00 90.00 90.00
Space group Im-3m (No. 229)
Symmetry-distinct sites (fractional):
Ac 0.000 0.000 0.000 [2 per cell]
Cu 0.000 0.250 0.500 [12 per cell]

Total energy, eV/atom: -3.822
Formation enthalpy at 0 K, eV per atom: 0.28


(19)
VASP calculation (PBE-GGA) on a relaxed structure of Ac4Cu.

abc: 5.957 5.957 5.957
angles: 90.00 90.00 90.00
Space group Pm-3m (No. 221)
Symmetry-distinct sites (fractional):
Ac 0.000 0.000 0.000 [1 per cell]
Ac 0.000 0.500 0.500 [3 per cell]
Cu 0.500 0.500 0.500 [1 per cell]

Total energy, eV/atom: -4.025
Formation enthalpy at 0 K, eV per atom: 0.08


(20)
VASP calculation (PBE-GGA) on a relaxed structure of AcCu3.

abc: 6.6313 6.6313 4.3139
angles: 90.00 90.00 120.00
Space group P6_3/mmc (No. 194)
Symmetry-distinct sites (fractional):
Ac 0.3333 0.6667 0.2500 [2 per cell]
Cu 0.1259 0.2518 0.7500 [6 per cell]

Total energy, eV/atom: -4.188
Formation enthalpy at 0 K, eV per atom: -0.09